(1)
{
  "formula": "Fe2RuPb",
  "functional": "PBE",
  "state": "relaxed",
  "magnetic_moment_mub_per_fu": 5.97,
  "dos_ef_per_ev_cell": 4.09,
  "lattice_angstrom": [[5.194, -0.011, -0.008], [2.353, 4.631, 0.008], [-3.357, -2.990, 2.602]],
  "species": ["Fe", "Fe", "Pb", "Ru"],
  "frac_coords": [[0.010, 0.010, 0.000], [0.490, 0.490, 0.000], [0.750, 0.250, 0.500], [0.250, 0.750, 0.500]]
}

(2)
{
  "formula": "Li2Tb3Pt6",
  "functional": "PBE",
  "state": "relaxed",
  "magnetic_moment_mub_per_fu": 0.00,
  "dos_ef_per_ev_cell": 8.46,
  "lattice_angstrom": [[1.918, -3.129, -7.350], [0.266, -5.947, 5.662], [-7.568, 3.187, -0.270]],
  "species": ["Pt", "Pt", "Pt", "Pt", "Pt", "Pt", "Pt", "Pt", "Pt", "Pt", "Pt", "Pt", "Tb", "Tb", "Tb", "Tb", "Tb", "Tb", "Li", "Li", "Li", "Li"],
  "frac_coords": [[0.334, 0.666, 0.000], [0.666, 0.334, 0.000], [0.333, 0.666, 0.666], [0.667, 0.334, 0.334], [0.666, 0.000, 0.334], [0.334, 0.667, 0.334], [0.334, 0.334, 0.667], [0.666, 0.666, 0.333], [0.334, 0.000, 0.666], [0.000, 0.666, 0.334], [0.666, 0.333, 0.666], [0.000, 0.334, 0.666], [0.000, 0.304, 0.304], [0.696, 0.696, 0.000], [0.304, 0.000, 0.304], [0.304, 0.304, 0.000], [0.696, 0.000, 0.696], [0.000, 0.696, 0.696], [0.000, 0.000, 0.500], [0.000, 0.500, 0.000], [0.500, 0.000, 0.000], [0.500, 0.500, 0.500]]
}

(3)
{
  "formula": "K2YCd",
  "functional": "PBE",
  "state": "relaxed",
  "magnetic_moment_mub_per_fu": 0.00,
  "dos_ef_per_ev_cell": 3.63,
  "lattice_angstrom": [[-0.796, -1.440, 3.249], [-2.352, -1.085, -2.561], [7.561, -10.148, -2.644]],
  "species": ["K", "K", "Cd", "Y"],
  "frac_coords": [[0.000, 0.000, 0.520], [0.000, 0.000, 0.980], [0.500, 0.500, 0.750], [0.500, 0.500, 0.250]]
}

(4)
{
  "formula": "NbBI2",
  "functional": "PBE",
  "state": "relaxed",
  "magnetic_moment_mub_per_fu": 0.00,
  "dos_ef_per_ev_cell": 2.62,
  "lattice_angstrom": [[0.000, 3.462, 3.462], [3.462, 0.000, 3.462], [3.462, 3.462, 0.000]],
  "species": ["B", "Nb", "I", "I"],
  "frac_coords": [[0.000, 0.000, 0.000], [0.500, 0.500, 0.500], [0.750, 0.750, 0.750], [0.250, 0.250, 0.250]]
}

(5)
{
  "formula": "MnSi2Ni",
  "functional": "PBE",
  "state": "relaxed",
  "magnetic_moment_mub_per_fu": 1.01,
  "dos_ef_per_ev_cell": 2.75,
  "lattice_angstrom": [[4.498, 0.000, 0.000], [0.000, 4.501, -0.008], [0.000, 0.062, 4.522]],
  "species": ["Ni", "Ni", "Si", "Si", "Si", "Si", "Mn", "Mn"],
  "frac_coords": [[0.639, 0.860, 0.104], [0.139, 0.140, 0.896], [0.843, 0.850, 0.585], [0.343, 0.150, 0.415], [0.161, 0.652, 0.095], [0.661, 0.348, 0.905], [0.857, 0.363, 0.391], [0.357, 0.637, 0.609]]
}

(6)
{
  "formula": "K2SmSb4Au3",
  "functional": "PBE",
  "state": "relaxed",
  "magnetic_moment_mub_per_fu": 0.00,
  "dos_ef_per_ev_cell": 2.01,
  "lattice_angstrom": [[-4.296, 2.174, -0.430], [-1.478, -2.112, 4.090], [4.209, 9.598, 6.479]],
  "species": ["K", "K", "Au", "Au", "Au", "Sb", "Sb", "Sb", "Sb", "Sm"],
  "frac_coords": [[0.500, 0.000, 0.240], [0.000, 0.500, 0.760], [0.000, 0.000, 0.500], [0.000, 0.500, 0.126], [0.500, 0.000, 0.874], [0.500, 0.000, 0.648], [0.500, 0.500, 0.000], [0.000, 0.000, 0.000], [0.000, 0.500, 0.352], [0.500, 0.500, 0.500]]
}

(7)
{
  "formula": "AcUSb3",
  "functional": "PBE",
  "state": "relaxed",
  "magnetic_moment_mub_per_fu": 0.28,
  "dos_ef_per_ev_cell": 3.44,
  "lattice_angstrom": [[-2.948, 1.909, 4.501], [3.505, -2.840, 3.500], [3.409, 4.570, 0.294]],
  "species": ["Sb", "Sb", "Sb", "U", "Ac"],
  "frac_coords": [[0.500, 0.000, 0.000], [0.000, 0.500, 0.000], [0.000, 0.000, 0.500], [0.000, 0.000, 0.000], [0.500, 0.500, 0.500]]
}

(8)
{
  "formula": "CuB2As",
  "functional": "PBE",
  "state": "relaxed",
  "magnetic_moment_mub_per_fu": 0.00,
  "dos_ef_per_ev_cell": 2.99,
  "lattice_angstrom": [[-0.193, -2.521, 4.226], [4.807, 0.806, 0.700], [1.367, 2.857, 4.636]],
  "species": ["B", "B", "B", "B", "As", "As", "Cu", "Cu"],
  "frac_coords": [[0.875, 0.878, 0.750], [0.375, 0.372, 0.750], [0.628, 0.125, 0.250], [0.122, 0.625, 0.250], [0.000, 0.000, 0.000], [0.750, 0.250, 0.500], [0.250, 0.750, 0.500], [0.500, 0.500, 0.000]]
}

(9)
{
  "formula": "SrGaSi3",
  "functional": "PBE",
  "state": "relaxed",
  "magnetic_moment_mub_per_fu": 0.00,
  "dos_ef_per_ev_cell": 6.40,
  "lattice_angstrom": [[-4.045, 3.721, 0.903], [0.354, -0.944, 5.478], [3.812, 4.036, 0.449]],
  "species": ["Sr", "Si", "Si", "Si", "Ga"],
  "frac_coords": [[0.000, 0.000, 0.000], [0.500, 0.000, 0.000], [0.000, 0.500, 0.000], [0.000, 0.000, 0.500], [0.500, 0.500, 0.500]]
}

(10)
{
  "formula": "Pu7SbBr12",
  "functional": "PBE",
  "state": "relaxed",
  "magnetic_moment_mub_per_fu": 41.00,
  "dos_ef_per_ev_cell": 76.47,
  "lattice_angstrom": [[9.140, -0.204, -2.787], [-3.709, 8.356, -2.787], [-0.136, -0.204, 9.554]],
  "species": ["Pu", "Pu", "Pu", "Pu", "Pu", "Pu", "Pu", "Br", "Br", "Br", "Br", "Br", "Br", "Br", "Br", "Br", "Br", "Br", "Br", "Sb"],
  "frac_coords": [[0.878, 0.960, 0.647], [0.040, 0.353, 0.122], [0.122, 0.040, 0.353], [0.500, 0.500, 0.500], [0.647, 0.878, 0.960], [0.960, 0.647, 0.878], [0.353, 0.122, 0.040], [0.307, 0.778, 0.924], [0.537, 0.840, 0.617], [0.693, 0.222, 0.076], [0.924, 0.307, 0.778], [0.617, 0.537, 0.840], [0.160, 0.383, 0.463], [0.383, 0.463, 0.160], [0.778, 0.924, 0.307], [0.222, 0.076, 0.693], [0.463, 0.160, 0.383], [0.840, 0.617, 0.537], [0.076, 0.693, 0.222], [0.000, 0.000, 0.000]]
}

(11)
{
  "formula": "NpZn2Ga",
  "functional": "PBE",
  "state": "relaxed",
  "magnetic_moment_mub_per_fu": 2.21,
  "dos_ef_per_ev_cell": 4.68,
  "lattice_angstrom": [[-2.336, -1.168, 0.522], [-0.344, -0.475, -2.598], [4.474, -8.519, 0.964]],
  "species": ["Zn", "Zn", "Ga", "Np"],
  "frac_coords": [[0.000, 0.000, 0.242], [0.000, 0.000, 0.758], [0.500, 0.500, 0.000], [0.500, 0.500, 0.500]]
}

(12)
{
  "formula": "Tb2BAsRh6",
  "functional": "PBE",
  "state": "relaxed",
  "magnetic_moment_mub_per_fu": 0.00,
  "dos_ef_per_ev_cell": 1.40,
  "lattice_angstrom": [[-3.312, -1.232, 2.683], [2.879, -0.451, 3.347], [-1.288, 8.309, 2.227]],
  "species": ["Rh", "Rh", "Rh", "Rh", "Rh", "Rh", "Tb", "Tb", "As", "B"],
  "frac_coords": [[0.000, 0.500, 0.500], [0.000, 0.500, 0.000], [0.500, 0.500, 0.731], [0.500, 0.000, 0.500], [0.500, 0.000, 0.000], [0.500, 0.500, 0.269], [0.000, 0.000, 0.265], [0.000, 0.000, 0.735], [0.500, 0.500, 0.000], [0.500, 0.500, 0.500]]
}

(13)
{
  "formula": "CsLiWN3",
  "functional": "PBE",
  "state": "relaxed",
  "magnetic_moment_mub_per_fu": 1.01,
  "dos_ef_per_ev_cell": 5.57,
  "lattice_angstrom": [[-4.206, -1.552, -3.259], [3.696, -3.099, -3.294], [-2.943, -4.142, 5.771]],
  "species": ["W", "W", "Li", "Li", "N", "N", "N", "N", "N", "N", "Cs", "Cs"],
  "frac_coords": [[0.750, 0.958, 0.916], [0.250, 0.042, 0.084], [0.250, 0.492, 0.984], [0.750, 0.508, 0.016], [0.500, 0.231, 0.000], [0.750, 0.832, 0.663], [0.250, 0.168, 0.337], [0.000, 0.231, 0.000], [0.500, 0.769, 0.000], [0.000, 0.769, 0.000], [0.250, 0.741, 0.483], [0.750, 0.259, 0.517]]
}

(14)
{
  "formula": "Ca2AgSe",
  "functional": "PBE",
  "state": "relaxed",
  "magnetic_moment_mub_per_fu": 0.00,
  "dos_ef_per_ev_cell": 2.25,
  "lattice_angstrom": [[4.246, -0.018, 0.009], [2.139, 3.668, 0.009], [2.113, 1.208, 7.185]],
  "species": ["Ca", "Ca", "Se", "Ag"],
  "frac_coords": [[0.004, 0.004, 0.988], [0.496, 0.496, 0.512], [0.750, 0.750, 0.750], [0.250, 0.250, 0.250]]
}

(15)
{
  "formula": "Ta2BeB4Mo2",
  "functional": "PBE",
  "state": "relaxed",
  "magnetic_moment_mub_per_fu": 0.00,
  "dos_ef_per_ev_cell": 3.78,
  "lattice_angstrom": [[5.168, 0.120, 0.173], [-2.375, 4.591, -0.173], [-2.375, -1.775, 4.237]],
  "species": ["Mo", "Mo", "B", "B", "B", "B", "Ta", "Ta", "Be"],
  "frac_coords": [[0.000, 0.324, 0.324], [0.000, 0.676, 0.676], [0.493, 0.246, 0.246], [0.000, 0.754, 0.246], [0.507, 0.754, 0.754], [0.000, 0.246, 0.754], [0.500, 0.750, 0.250], [0.500, 0.250, 0.750], [0.000, 0.000, 0.000]]
}

(16)
{
  "formula": "SrCd",
  "functional": "PBE",
  "state": "relaxed",
  "magnetic_moment_mub_per_fu": 0.00,
  "dos_ef_per_ev_cell": 1.21,
  "lattice_angstrom": [[4.405, 0.000, 0.000], [-2.202, 3.815, 0.000], [0.000, 0.000, 4.570]],
  "species": ["Sr", "Cd"],
  "frac_coords": [[0.667, 0.333, 0.500], [0.000, 0.000, 0.000]]
}

(17)
{
  "formula": "RhW2Cl",
  "functional": "PBE",
  "state": "relaxed",
  "magnetic_moment_mub_per_fu": 0.00,
  "dos_ef_per_ev_cell": 2.90,
  "lattice_angstrom": [[-4.103, -2.778, 0.509], [-2.146, -4.447, -0.652], [1.566, -1.172, 4.324]],
  "species": ["Rh", "W", "W", "Cl"],
  "frac_coords": [[0.725, 0.725, 0.749], [0.281, 0.281, 0.229], [0.002, 0.002, 0.967], [0.492, 0.492, 0.554]]
}

(18)
{
  "formula": "Ac2Pr2Mg3",
  "functional": "PBE",
  "state": "relaxed",
  "magnetic_moment_mub_per_fu": 0.00,
  "dos_ef_per_ev_cell": 7.58,
  "lattice_angstrom": [[4.039, 0.000, 0.536], [0.000, 3.977, 0.000], [0.078, 0.000, 14.896]],
  "species": ["Pr", "Pr", "Ac", "Ac", "Mg", "Mg", "Mg"],
  "frac_coords": [[0.297, 0.500, 0.406], [0.703, 0.500, 0.594], [0.572, 0.500, 0.856], [0.428, 0.500, 0.144], [0.143, 0.000, 0.714], [0.000, 0.000, 0.000], [0.857, 0.000, 0.286]]
}

(19)
{
  "formula": "LiAsCl6",
  "functional": "PBE",
  "state": "relaxed",
  "magnetic_moment_mub_per_fu": 0.00,
  "lattice_angstrom": [[-1.958, -5.880, 1.284], [4.163, -4.382, 1.873], [-0.137, -1.966, 6.397]],
  "species": ["Cl", "Cl", "Cl", "Cl", "Cl", "Cl", "Li", "As"],
  "frac_coords": [[0.921, 0.625, 0.235], [0.625, 0.218, 0.235], [0.218, 0.922, 0.235], [0.375, 0.782, 0.765], [0.782, 0.078, 0.765], [0.079, 0.375, 0.765], [0.500, 0.500, 0.500], [0.000, 0.000, 0.000]]
}

(20)
{
  "formula": "TaMo2As",
  "functional": "PBE",
  "state": "relaxed",
  "magnetic_moment_mub_per_fu": 0.00,
  "dos_ef_per_ev_cell": 6.53,
  "lattice_angstrom": [[7.006, 0.000, 0.000], [0.000, 7.006, 0.000], [3.503, 3.503, 2.879]],
  "species": ["Mo", "Mo", "Mo", "Mo", "As", "As", "Ta", "Ta"],
  "frac_coords": [[0.875, 0.841, 0.750], [0.375, 0.409, 0.750], [0.159, 0.625, 0.250], [0.591, 0.125, 0.250], [0.250, 0.750, 0.500], [0.500, 0.500, 0.000], [0.750, 0.250, 0.500], [0.000, 0.000, 0.000]]
}

(21)
{
  "formula": "K3Rb2Sn4",
  "functional": "PBE",
  "state": "relaxed",
  "magnetic_moment_mub_per_fu": 0.00,
  "dos_ef_per_ev_cell": 3.99,
  "lattice_angstrom": [[6.935, -0.126, -0.984], [3.210, 6.303, -0.294], [1.734, 2.874, 8.255]],
  "species": ["Sn", "Sn", "Sn", "Sn", "K", "K", "K", "Rb", "Rb"],
  "frac_coords": [[0.139, 0.545, 0.381], [0.861, 0.455, 0.619], [0.846, 0.658, 0.858], [0.154, 0.342, 0.142], [0.575, 0.718, 0.210], [0.000, 0.000, 0.000], [0.425, 0.282, 0.790], [0.720, 0.115, 0.409], [0.280, 0.885, 0.591]]
}

(22)
{
  "formula": "SnC2N6F6",
  "functional": "PBE",
  "state": "relaxed",
  "magnetic_moment_mub_per_fu": 6.00,
  "lattice_angstrom": [[3.321, 5.397, 0.128], [-3.321, 5.397, 0.128], [0.000, 2.478, 6.970]],
  "species": ["F", "F", "F", "F", "F", "F", "N", "N", "N", "N", "N", "N", "Sn", "C", "C"],
  "frac_coords": [[0.517, 0.089, 0.510], [0.573, 0.140, 0.088], [0.144, 0.144, 0.339], [0.140, 0.573, 0.088], [0.521, 0.521, 0.252], [0.089, 0.517, 0.510], [0.033, 0.419, 0.959], [0.419, 0.033, 0.959], [0.386, 0.744, 0.632], [0.104, 0.104, 0.881], [0.763, 0.763, 0.501], [0.744, 0.386, 0.632], [0.333, 0.333, 0.296], [0.207, 0.207, 0.949], [0.628, 0.628, 0.591]]
}

(23)
{
  "formula": "HgTeI",
  "functional": "PBE",
  "state": "relaxed",
  "magnetic_moment_mub_per_fu": 0.00,
  "dos_ef_per_ev_cell": 2.27,
  "lattice_angstrom": [[6.421, 0.000, 0.057], [0.000, 5.886, 0.000], [-1.727, 0.000, 7.404]],
  "species": ["I", "I", "Te", "Te", "Hg", "Hg"],
  "frac_coords": [[0.250, 0.750, 0.490], [0.750, 0.250, 0.510], [0.051, 0.250, 0.975], [0.949, 0.750, 0.025], [0.369, 0.250, 0.270], [0.631, 0.750, 0.730]]
}

(24)
{
  "formula": "Sm6P2C",
  "functional": "PBE",
  "state": "relaxed",
  "magnetic_moment_mub_per_fu": 0.67,
  "dos_ef_per_ev_cell": 18.71,
  "lattice_angstrom": [[6.378, 0.000, 0.027], [0.000, 7.557, 0.000], [0.319, 0.000, 9.473]],
  "species": ["P", "P", "P", "P", "Sm", "Sm", "Sm", "Sm", "Sm", "Sm", "Sm", "Sm", "Sm", "Sm", "Sm", "Sm", "C", "C"],
  "frac_coords": [[0.062, 0.620, 0.754], [0.562, 0.880, 0.254], [0.938, 0.380, 0.246], [0.438, 0.120, 0.746], [0.140, 0.034, 0.252], [0.860, 0.966, 0.748], [0.643, 0.200, 0.058], [0.330, 0.828, 0.556], [0.143, 0.300, 0.558], [0.670, 0.172, 0.444], [0.357, 0.800, 0.942], [0.830, 0.672, 0.056], [0.360, 0.534, 0.248], [0.857, 0.700, 0.442], [0.170, 0.328, 0.944], [0.640, 0.466, 0.752], [0.000, 0.000, 0.500], [0.500, 0.500, 0.000]]
}

| no. | uncorrected energy (Ha/atom) |
| --- | --- |
| 1 | -0.2570 |
| 2 | -0.2151 |
| 3 | -0.0768 |
| 4 | -0.1370 |
| 5 | -0.2544 |
| 6 | -0.1395 |
| 7 | -0.2099 |
| 8 | -0.1757 |
| 9 | -0.0959 |
| 10 | -0.2788 |
| 11 | -0.1657 |
| 12 | -0.2586 |
| 13 | -0.2600 |
| 14 | -0.1318 |
| 15 | -0.2933 |
| 16 | -0.0538 |
| 17 | -0.3017 |
| 18 | -0.1183 |
| 19 | -0.1064 |
| 20 | -0.3271 |
| 21 | -0.0936 |
| 22 | -0.1956 |
| 23 | -0.0654 |
| 24 | -0.2232 |